NdZnPd: optimized geometry, PBE.

Computed properties:
Raw total energy = -4.240 eV per atom
Calculated volume = 24.3 Å³ per atom
Formation energy from the elements = -0.495 eV/atom

CIF file:
```
data_NdZnPd
_chemical_formula_sum 'Nd4 Zn4 Pd4'
_cell_length_a 6.6343
_cell_length_b 6.6343
_cell_length_c 6.6343
_cell_angle_alpha 90.00
_cell_angle_beta 90.00
_cell_angle_gamma 90.00
_symmetry_space_group_name_H-M 'F -4 3 m'
_symmetry_Int_Tables_number 216
_symmetry_space_group_name_Hall 'F -4 2 3'
loop_
_atom_site_label
_atom_site_type_symbol
_atom_site_fract_x
_atom_site_fract_y
_atom_site_fract_z
Nd1 Nd 0.0000 0.0000 0.0000
Zn1 Zn 0.0000 0.0000 0.5000
Pd1 Pd 0.2500 0.2500 0.7500
```

***

KSCl2F: optimized geometry, PBE.

Computed properties:
Raw total energy = -1.946 eV per atom
Calculated volume = 48.2 Å³ per atom
Energy above the most stable polymorph in this dataset = 16.89 kcal/mol of atoms

CIF file:
```
data_KSCl2F
_chemical_formula_sum 'K1 S1 Cl2 F1'
_cell_length_a 5.9223
_cell_length_b 5.9223
_cell_length_c 6.8741
_cell_angle_alpha 90.00
_cell_angle_beta 90.00
_cell_angle_gamma 90.00
_symmetry_space_group_name_H-M 'P 4/m m m'
_symmetry_Int_Tables_number 123
_symmetry_space_group_name_Hall '-P 4 2'
loop_
_atom_site_label
_atom_site_type_symbol
_atom_site_fract_x
_atom_site_fract_y
_atom_site_fract_z
K1 K 0.0000 0.0000 0.0000
S1 S 0.0000 0.0000 0.5000
Cl1 Cl 0.0000 0.5000 0.0000
F1 F 0.5000 0.5000 0.5000
```

***

ZnIrRu: optimized geometry, PBE.

Computed properties:
Raw total energy = -6.494 eV per atom
Calculated volume = 14.2 Å³ per atom
Energy above the most stable polymorph in this dataset = 0.95 kcal/mol of atoms
Formation energy from the elements = -0.024 eV/atom

CIF file:
```
data_ZnIrRu
_chemical_formula_sum 'Zn1 Ir1 Ru1'
_cell_length_a 2.7374
_cell_length_b 2.7374
_cell_length_c 6.5761
_cell_angle_alpha 90.00
_cell_angle_beta 90.00
_cell_angle_gamma 120.00
_symmetry_space_group_name_H-M 'P 3 m 1'
_symmetry_Int_Tables_number 156
loop_
_symmetry_equiv_pos_as_xyz
'x,y,z'
'-y,x-y,z'
'-x+y,-x,z'
'-y,-x,z'
'-x+y,y,z'
'x,x-y,z'
loop_
_atom_site_label
_atom_site_type_symbol
_atom_site_fract_x
_atom_site_fract_y
_atom_site_fract_z
Zn1 Zn 0.0000 0.0000 0.0000
Ir1 Ir 0.6667 0.3333 0.3395
Ru1 Ru 0.3333 0.6667 0.6644
```

***

Pr2AlPd6: optimized geometry, PBE.

Computed properties:
Raw total energy = -5.769 eV per atom
Calculated volume = 19.2 Å³ per atom
Energy above the most stable polymorph in this dataset = 0.00 kcal/mol of atoms
Formation energy from the elements = -0.829 eV/atom

CIF file:
```
data_Pr2AlPd6
_chemical_formula_sum 'Pr6 Al3 Pd18'
_cell_length_a 5.8769
_cell_length_b 5.8769
_cell_length_c 17.3294
_cell_angle_alpha 90.00
_cell_angle_beta 90.00
_cell_angle_gamma 120.00
_symmetry_space_group_name_H-M 'R -3 m'
_symmetry_Int_Tables_number 166
_symmetry_space_group_name_Hall '-R 3 2"'
loop_
_atom_site_label
_atom_site_type_symbol
_atom_site_fract_x
_atom_site_fract_y
_atom_site_fract_z
Pr1 Pr 0.0000 0.0000 0.2324
Al1 Al 0.0000 0.0000 0.5000
Pd1 Pd 0.0096 0.5048 0.7321
```

***

Ga2Cu6Ni: optimized geometry, PBE.

Computed properties:
Raw total energy = -4.113 eV per atom
Calculated volume = 12.6 Å³ per atom
Energy above the most stable polymorph in this dataset = 0.00 kcal/mol of atoms
Formation energy from the elements = -0.067 eV/atom

CIF file:
```
data_Ga2Cu6Ni
_chemical_formula_sum 'Ga8 Cu24 Ni4'
_cell_length_a 9.4615
_cell_length_b 8.8170
_cell_length_c 6.6702
_cell_angle_alpha 90.00
_cell_angle_beta 125.53
_cell_angle_gamma 90.00
_symmetry_space_group_name_H-M 'C 1 2/c 1'
_symmetry_Int_Tables_number 15
loop_
_symmetry_equiv_pos_as_xyz
'x,y,z'
'-x,-y,-z'
'-x,y,-z+1/2'
'x,-y,z+1/2'
'x+1/2,y+1/2,z'
'-x+1/2,-y+1/2,-z'
'-x+1/2,y+1/2,-z+1/2'
'x+1/2,-y+1/2,z+1/2'
loop_
_atom_site_label
_atom_site_type_symbol
_atom_site_fract_x
_atom_site_fract_y
_atom_site_fract_z
Ga1 Ga 0.1860 0.1031 0.4341
Cu1 Cu 0.0448 0.1321 0.9710
Cu2 Cu 0.1016 0.4052 0.6868
Cu3 Cu 0.2272 0.3523 0.1345
Ni1 Ni 0.0000 0.3295 0.2500
```

***

ZrAg2Sb: optimized geometry, PBE.

Computed properties:
Raw total energy = -4.554 eV per atom
Calculated volume = 21.5 Å³ per atom

CIF file:
```
data_ZrAg2Sb
_chemical_formula_sum 'Zr1 Ag2 Sb1'
_cell_length_a 3.1179
_cell_length_b 3.1179
_cell_length_c 8.8584
_cell_angle_alpha 90.00
_cell_angle_beta 90.00
_cell_angle_gamma 90.00
_symmetry_space_group_name_H-M 'P 4/m m m'
_symmetry_Int_Tables_number 123
_symmetry_space_group_name_Hall '-P 4 2'
loop_
_atom_site_label
_atom_site_type_symbol
_atom_site_fract_x
_atom_site_fract_y
_atom_site_fract_z
Zr1 Zr 0.0000 0.0000 0.0000
Ag1 Ag 0.5000 0.5000 0.2371
Sb1 Sb 0.0000 0.0000 0.5000
```

***

Er2BePd6: optimized geometry, PBE.

Computed properties:
Raw total energy = -5.441 eV per atom
Calculated volume = 18.4 Å³ per atom
Energy above the most stable polymorph in this dataset = 8.32 kcal/mol of atoms
Formation energy from the elements = -0.551 eV/atom

CIF file:
```
data_Er2BePd6
_chemical_formula_sum 'Er4 Be2 Pd12'
_cell_length_a 13.2838
_cell_length_b 7.1989
_cell_length_c 3.5954
_cell_angle_alpha 90.00
_cell_angle_beta 105.53
_cell_angle_gamma 90.00
_symmetry_space_group_name_H-M 'C 1 2/m 1'
_symmetry_Int_Tables_number 12
loop_
_symmetry_equiv_pos_as_xyz
'x,y,z'
'-x,-y,-z'
'-x,y,-z'
'x,-y,z'
'x+1/2,y+1/2,z'
'-x+1/2,-y+1/2,-z'
'-x+1/2,y+1/2,-z'
'x+1/2,-y+1/2,z'
loop_
_atom_site_label
_atom_site_type_symbol
_atom_site_fract_x
_atom_site_fract_y
_atom_site_fract_z
Er1 Er 0.1449 0.0000 0.1418
Be1 Be 0.0000 0.5000 0.5000
Pd1 Pd 0.0000 0.3012 0.0000
Pd2 Pd 0.1648 0.3014 0.6633
```

***

Nb2ZnNi9: optimized geometry, PBE.

Computed properties:
Raw total energy = -6.371 eV per atom
Calculated volume = 12.1 Å³ per atom
Formation energy from the elements = -0.250 eV/atom

CIF file:
```
data_Nb2ZnNi9
_chemical_formula_sum 'Nb2 Zn1 Ni9'
_cell_length_a 3.6613
_cell_length_b 3.6613
_cell_length_c 10.8539
_cell_angle_alpha 90.00
_cell_angle_beta 90.00
_cell_angle_gamma 90.00
_symmetry_space_group_name_H-M 'P 4/m m m'
_symmetry_Int_Tables_number 123
_symmetry_space_group_name_Hall '-P 4 2'
loop_
_atom_site_label
_atom_site_type_symbol
_atom_site_fract_x
_atom_site_fract_y
_atom_site_fract_z
Nb1 Nb 0.0000 0.0000 0.1751
Zn1 Zn 0.0000 0.0000 0.5000
Ni1 Ni 0.0000 0.5000 0.0000
Ni2 Ni 0.0000 0.5000 0.3364
Ni3 Ni 0.5000 0.5000 0.1666
Ni4 Ni 0.5000 0.5000 0.5000
```

***

Calculated total magnetic moment, 0.00, 4.00, 0.00, 0.00, 0.00, 0.27, 0.00, 0.00 μB per cell (same order as the records).